BeAuSN2: optimized geometry, PBE.

Summary:
Calculated volume, Å³/atom: 16.920
Formation energy without anion corrections, eV/atom: 1.1673
Crystal system: tetragonal
Total moment, μB/f.u.: 0.0

Lattice parameters (Å, degrees): 3.378 3.378 7.413 90.00 90.00 90.00
Sites, in units of the cell vectors:
N 0.000 0.500 0.000
N 0.500 0.000 0.000
Au 0.500 0.500 0.500
Be 0.000 0.000 0.000
S 0.000 0.000 0.500